A geometry-optimized Be2CuNCl structure, computed with GGA-PBE.

Values from the calculation:
* V: 15.7 Å³ per atom
* uncorrected formation energy: 1.842 eV/atom
* total energy: -2.502 eV/atom

Cell and atoms, written as CIF:
```
data_Be2CuNCl
_cell_length_a 4.267
_cell_length_b 4.267
_cell_length_c 4.307
_cell_angle_alpha 90.00
_cell_angle_beta 90.00
_cell_angle_gamma 90.00
_space_group_name_H-M_alt 'P 4/m m m'
_space_group_IT_number 123
_space_group_name_Hall '-P 4 2'
loop_
_atom_site_label
_atom_site_type_symbol
_atom_site_fract_x
_atom_site_fract_y
_atom_site_fract_z
Be1 Be 0.000 0.500 0.000
Cu1 Cu 0.000 0.000 0.000
N1 N 0.500 0.500 0.500
Cl1 Cl 0.000 0.000 0.500
```